First-principles (PBE with a Hubbard U) data for Dy3MoCl2O6 after structural relaxation, as listed in Alexandria via LeMat-Bulk.

## Properties
Final energy ... -83.8 eV per cell
Magnetic moment ... 1.0 Bohr magnetons per cell

a = 5.4869 Å, b = 6.5655 Å, c = 6.6173 Å
α = 119.74°, β = 80.99°, γ = 90.00°
Fractional positions:
Dy 0.5000 0.0000 0.5000
O 0.2974 0.1810 0.8810
Dy 0.5000 0.5000 0.5000
Mo 0.5000 0.0000 0.0000
O 0.7026 0.3000 0.1190
O 0.7026 0.8190 0.1190
Cl 0.1480 0.7071 0.4142
O 0.3323 0.1669 0.3339
Cl 0.8520 0.2929 0.5858
Dy 0.0000 0.5000 0.0000
O 0.6677 0.8331 0.6661
O 0.2974 0.7000 0.8810